# 1
HoMg2Hg after structural relaxation. Source: Alexandria, functional GGA-PBE.

Density: 6.761 g cm⁻³
SG: No. 8
E_tot: -8.340 eV for the cell shown
M_tot: 0.0 μB/f.u.
Energy of formation from the pure elements: -0.271 eV/f.u.

Lattice parameters (Å, degrees): 3.4633 3.4633 10.0257 100.09 100.09 59.72
With the nearest neighbours (Å) after each atom.
Fractional coordinates of all 4 atoms:
Ho  0.0000  0.0000  0.0000  6 Mg 3.36-3.38, 6 Ho 3.45-3.46
Mg  0.5773  0.5773  0.7230  3 Hg 2.96-2.97
Mg  0.7625  0.7625  0.2765  3 Hg 2.96-2.97
Hg  0.1698  0.1698  0.4997  6 Mg 2.96-2.97

# 2
HoMg2Hg9 after structural relaxation. Source: Alexandria, functional GGA-PBE.

Density: 11.910 g cm⁻³
SG: No. 123
E_tot: -12.350 eV for the cell shown
M_tot: 0.0 μB/f.u.
Energy of formation from the pure elements: -1.867 eV/f.u.

Lattice parameters (Å, degrees): 4.6237 4.6237 13.1662 90.00 90.00 90.00
With the nearest neighbours (Å) after each atom.
Fractional coordinates of all 12 atoms:
Ho  0.0000  0.0000  0.0000  12 Hg 3.24-3.27
Mg  0.0000  0.0000  0.3375  12 Hg 3.15-3.27
Mg  0.0000  0.0000  0.6625  12 Hg 3.15-3.27
Hg  0.0000  0.5000  0.1724  8 Hg 3.17-3.27, 2 Mg 3.17, 2 Ho 3.24
Hg  0.0000  0.5000  0.5000  4 Mg 3.15, 8 Hg 3.15-3.27
Hg  0.0000  0.5000  0.8276  8 Hg 3.17-3.27, 2 Mg 3.17, 2 Ho 3.24
Hg  0.5000  0.0000  0.1724  8 Hg 3.17-3.27, 2 Mg 3.17, 2 Ho 3.24
Hg  0.5000  0.0000  0.5000  4 Mg 3.15, 8 Hg 3.15-3.27
Hg  0.5000  0.0000  0.8276  8 Hg 3.17-3.27, 2 Mg 3.17, 2 Ho 3.24
Hg  0.5000  0.5000  0.0000  8 Hg 3.24, 4 Ho 3.27
Hg  0.5000  0.5000  0.3372  8 Hg 3.15-3.17, 4 Mg 3.27
Hg  0.5000  0.5000  0.6628  8 Hg 3.15-3.17, 4 Mg 3.27

# 3
HoMgHg2 after structural relaxation. Source: Alexandria, functional GGA-PBE.

Density: 9.597 g cm⁻³
SG: No. 8
E_tot: -7.824 eV for the cell shown
M_tot: 0.0 μB/f.u.
Energy of formation from the pure elements: -1.048 eV/f.u.

Lattice parameters (Å, degrees): 3.7078 3.7078 8.7689 101.69 101.69 60.66
With the nearest neighbours (Å) after each atom.
Fractional coordinates of all 4 atoms:
Ho  0.0000  0.0000  0.0000  6 Hg 3.09-3.10
Mg  0.8357  0.8357  0.4991  6 Hg 2.94-2.97
Hg  0.4194  0.4194  0.2614  3 Mg 2.94-2.97, 3 Ho 3.09-3.10
Hg  0.5807  0.5807  0.7381  3 Mg 2.94-2.97, 3 Ho 3.10

# 4
Ho4MgHg2 after structural relaxation. Source: Alexandria, functional GGA-PBE.

Density: 9.467 g cm⁻³
SG: No. 166
E_tot: -22.022 eV for the cell shown
M_tot: 0.0 μB/f.u.
Energy of formation from the pure elements: -1.512 eV/f.u.

Lattice parameters (Å, degrees): 8.6909 8.6909 8.6909 34.75 34.75 34.75
With the nearest neighbours (Å) after each atom.
Fractional coordinates of all 7 atoms:
Ho  0.1105  0.1105  0.1105  4 Hg 3.03-3.16, 3 Mg 3.30
Ho  0.3663  0.3663  0.3663  4 Hg 3.10-3.34, 1 Mg 3.27, 3 Ho 3.40
Ho  0.6337  0.6337  0.6337  4 Hg 3.10-3.34, 1 Mg 3.27, 3 Ho 3.40
Ho  0.8895  0.8895  0.8895  4 Hg 3.03-3.16, 3 Mg 3.30
Mg  0.5000  0.5000  0.5000  8 Ho 3.27-3.30, 6 Hg 3.49
Hg  0.2397  0.2397  0.2397  8 Ho 3.03-3.34
Hg  0.7603  0.7603  0.7603  8 Ho 3.03-3.34

# 5
Ho5Mg4Hg after structural relaxation. Source: Alexandria, functional GGA-PBE.

Density: 7.015 g cm⁻³
SG: No. 123
E_tot: -31.116 eV for the cell shown
M_tot: 0.0 μB/f.u.
Energy of formation from the pure elements: -1.547 eV/f.u.

Lattice parameters (Å, degrees): 3.7771 3.7771 18.6245 90.00 90.00 90.00
With the nearest neighbours (Å) after each atom.
Fractional coordinates of all 10 atoms:
Ho  0.0000  0.0000  0.0000  8 Mg 3.27
Ho  0.0000  0.0000  0.2024  8 Mg 3.24-3.27
Ho  0.0000  0.0000  0.4035  4 Hg 3.22, 4 Mg 3.28, 1 Ho 3.59
Ho  0.0000  0.0000  0.5965  4 Hg 3.22, 4 Mg 3.28, 1 Ho 3.59
Ho  0.0000  0.0000  0.7976  8 Mg 3.24-3.27
Mg  0.5000  0.5000  0.1011  8 Ho 3.27
Mg  0.5000  0.5000  0.3009  8 Ho 3.24-3.28
Mg  0.5000  0.5000  0.6991  8 Ho 3.24-3.28
Mg  0.5000  0.5000  0.8989  8 Ho 3.27
Hg  0.5000  0.5000  0.5000  8 Ho 3.22

# 6
Ho4MgHg5 after structural relaxation. Source: Alexandria, functional GGA-PBE.

Density: 11.399 g cm⁻³
SG: No. 123
E_tot: -25.809 eV for the cell shown
M_tot: 0.0 μB/f.u.
Energy of formation from the pure elements: -4.394 eV/f.u.

Lattice parameters (Å, degrees): 3.6667 3.6667 18.2779 90.00 90.00 90.00
With the nearest neighbours (Å) after each atom.
Fractional coordinates of all 10 atoms:
Ho  0.0000  0.0000  0.1031  8 Hg 3.18-3.20
Ho  0.0000  0.0000  0.3080  8 Hg 3.18-3.21, 1 Mg 3.51
Ho  0.0000  0.0000  0.6920  8 Hg 3.18-3.21, 1 Mg 3.51
Ho  0.0000  0.0000  0.8969  8 Hg 3.18-3.20
Mg  0.0000  0.0000  0.5000  8 Hg 3.09
Hg  0.5000  0.5000  0.0000  8 Ho 3.20
Hg  0.5000  0.5000  0.2041  8 Ho 3.18-3.21
Hg  0.5000  0.5000  0.4085  4 Mg 3.09, 4 Ho 3.18, 1 Hg 3.35
Hg  0.5000  0.5000  0.5915  4 Mg 3.09, 4 Ho 3.18, 1 Hg 3.35
Hg  0.5000  0.5000  0.7959  8 Ho 3.18-3.21

# 7
Ho2MgHg2 after structural relaxation. Source: Alexandria, functional GGA-PBE.

Density: 9.778 g cm⁻³
SG: No. 127
E_tot: -26.686 eV for the cell shown
M_tot: 0.0 μB/f.u.
Energy of formation from the pure elements: -1.989 eV/f.u.

Lattice parameters (Å, degrees): 8.0663 8.0663 3.9429 90.00 90.00 90.00
With the nearest neighbours (Å) after each atom.
Fractional coordinates of all 10 atoms:
Ho  0.1649  0.3351  0.0000  6 Hg 3.01-3.13
Ho  0.3351  0.8351  0.0000  6 Hg 3.01-3.13
Ho  0.6649  0.1649  0.0000  6 Hg 3.01-3.13
Ho  0.8351  0.6649  0.0000  6 Hg 3.01-3.13
Mg  0.0000  0.0000  0.5000  4 Hg 3.14
Mg  0.5000  0.5000  0.5000  4 Hg 3.14
Hg  0.1354  0.6354  0.5000  6 Ho 3.01-3.13, 1 Hg 3.09, 2 Mg 3.14
Hg  0.3646  0.1354  0.5000  6 Ho 3.01-3.13, 1 Hg 3.09, 2 Mg 3.14
Hg  0.6354  0.8646  0.5000  6 Ho 3.01-3.13, 1 Hg 3.09, 2 Mg 3.14
Hg  0.8646  0.3646  0.5000  6 Ho 3.01-3.13, 1 Hg 3.09, 2 Mg 3.14

# 8
HoMgHg after structural relaxation. Source: Alexandria, functional GGA-PBE.

Density: 8.863 g cm⁻³
SG: No. 187
E_tot: -7.397 eV for the cell shown
M_tot: 0.0 μB/f.u.
Energy of formation from the pure elements: -0.923 eV/f.u.

Lattice parameters (Å, degrees): 4.9208 4.9208 3.4829 90.00 90.00 120.00
With the nearest neighbours (Å) after each atom.
Fractional coordinates of all 3 atoms:
Ho  0.0000  0.0000  0.0000  6 Hg 3.33, 6 Mg 3.33, 2 Ho 3.48
Mg  0.3333  0.6667  0.5000  3 Hg 2.84
Hg  0.6667  0.3333  0.5000  3 Mg 2.84

# 9
Ho4MgHg7 after structural relaxation. Source: Alexandria, functional GGA-PBE.

Density: 11.041 g cm⁻³
SG: No. 12
E_tot: -25.599 eV for the cell shown
M_tot: 0.0 μB/f.u.
Energy of formation from the pure elements: -3.581 eV/f.u.

Lattice parameters (Å, degrees): 6.9611 6.9611 10.7225 118.32 118.32 44.76
With the nearest neighbours (Å) after each atom.
Fractional coordinates of all 12 atoms:
Ho  0.0793  0.0793  0.2768  8 Hg 3.04-3.17
Ho  0.2345  0.2345  0.8161  8 Hg 3.08-3.44
Ho  0.7655  0.7655  0.1839  8 Hg 3.08-3.44
Ho  0.9207  0.9207  0.7232  8 Hg 3.04-3.17
Mg  0.5000  0.5000  0.5000  2 Hg 2.65
Hg  0.0000  0.0000  0.5000  2 Mg 2.65
Hg  0.1387  0.1387  0.0353  5 Ho 3.05-3.16, 4 Hg 3.20-3.25
Hg  0.3043  0.3043  0.5809  4 Ho 3.04-3.08, 1 Mg 3.06, 3 Hg 3.08-3.16
Hg  0.4239  0.4239  0.1594  4 Hg 3.16-3.21, 5 Ho 3.17-3.44, 1 Mg 3.26
Hg  0.5761  0.5761  0.8406  4 Hg 3.16-3.21, 5 Ho 3.17-3.44, 1 Mg 3.26
Hg  0.6957  0.6957  0.4191  4 Ho 3.04-3.08, 1 Mg 3.06, 3 Hg 3.08-3.16
Hg  0.8613  0.8613  0.9647  5 Ho 3.05-3.16, 4 Hg 3.20-3.25

# 10
HoMgHg after structural relaxation. Source: Alexandria, functional GGA-PBE.

Density: 8.725 g cm⁻³
SG: No. 129
E_tot: -14.993 eV for the cell shown
M_tot: 0.0 μB/f.u.
Energy of formation from the pure elements: -1.022 eV/f.u.

Lattice parameters (Å, degrees): 4.3719 4.3719 7.7632 90.00 90.00 90.00
With the nearest neighbours (Å) after each atom.
Fractional coordinates of all 6 atoms:
Ho  0.2500  0.2500  0.1494  5 Hg 3.04-3.17
Ho  0.7500  0.7500  0.8506  5 Hg 3.04-3.17
Mg  0.2500  0.7500  0.5000  4 Hg 2.96, 4 Mg 3.09
Mg  0.7500  0.2500  0.5000  4 Hg 2.96, 4 Mg 3.09
Hg  0.2500  0.2500  0.7579  4 Mg 2.96, 5 Ho 3.04-3.17
Hg  0.7500  0.7500  0.2421  4 Mg 2.96, 5 Ho 3.04-3.17

# 11
Ho2MgHg after structural relaxation. Source: Alexandria, functional GGA-PBE.

Density: 8.887 g cm⁻³
SG: No. 225
E_tot: -12.089 eV for the cell shown
M_tot: 0.0 μB/f.u.
Energy of formation from the pure elements: -1.037 eV/f.u.

Lattice parameters (Å, degrees): 5.2727 5.2727 5.2727 60.00 60.00 60.00
With the nearest neighbours (Å) after each atom.
Fractional coordinates of all 4 atoms:
Ho  0.2500  0.2500  0.2500  4 Hg 3.23, 4 Mg 3.23
Ho  0.7500  0.7500  0.7500  4 Hg 3.23, 4 Mg 3.23
Mg  0.0000  0.0000  0.0000  8 Ho 3.23
Hg  0.5000  0.5000  0.5000  8 Ho 3.23

# 12
HoMg2Hg8 after structural relaxation. Source: Alexandria, functional GGA-PBE.

Density: 11.759 g cm⁻³
SG: No. 12
E_tot: -12.007 eV for the cell shown
M_tot: 0.0 μB/f.u.
Energy of formation from the pure elements: -1.826 eV/f.u.

Lattice parameters (Å, degrees): 8.2347 8.2347 7.1543 105.69 105.69 33.49
With the nearest neighbours (Å) after each atom.
Fractional coordinates of all 11 atoms:
Ho  0.0000  0.0000  0.0000  12 Hg 3.16-3.33
Mg  0.2656  0.2656  0.3447  10 Hg 2.99-3.24
Mg  0.7344  0.7344  0.6553  10 Hg 2.99-3.24
Hg  0.0961  0.0961  0.4684  3 Mg 3.04-3.24, 8 Hg 3.10-3.40, 1 Ho 3.26
Hg  0.1858  0.1858  0.9133  3 Mg 2.99-3.23, 6 Hg 3.10-3.16, 1 Ho 3.16
Hg  0.3597  0.3597  0.7766  3 Mg 3.03-3.05, 5 Hg 3.14-3.29, 2 Ho 3.33
Hg  0.4457  0.4457  0.2531  1 Mg 3.09, 8 Hg 3.14-3.40, 2 Ho 3.24
Hg  0.5543  0.5543  0.7469  1 Mg 3.09, 8 Hg 3.14-3.40, 2 Ho 3.24
Hg  0.6403  0.6403  0.2234  3 Mg 3.03-3.05, 5 Hg 3.14-3.29, 2 Ho 3.33
Hg  0.8142  0.8142  0.0867  3 Mg 2.99-3.23, 6 Hg 3.10-3.16, 1 Ho 3.16
Hg  0.9039  0.9039  0.5316  3 Mg 3.04-3.24, 8 Hg 3.10-3.40, 1 Ho 3.26

- energy of formation from the pure elements of number 10 (HoMgHg)?
  -1.022 eV/f.u.

- What is the energy of formation from the pure elements in the eleventh record?
  -1.037 eV/f.u.